No. 1
{
  "formula": "BaYGa4",
  "functional": "PBE",
  "state": "optimized geometry",
  "ef_ev_per_atom": -0.38,
  "magnetic_moment_mub_per_cell": 0.0,
  "spacegroup": "F-43m",
  "dos_at_fermi_per_ev_atom": 0.366,
  "volume_a3_per_cell": 135,
  "lattice_angstrom": [[-3.9228, -4.0404, 1.2215], [1.6506, -5.4556, 0.8470], [-0.2271, -2.2918, 5.2822]],
  "species": ["Y", "Ba", "Ga", "Ga", "Ga", "Ga"],
  "fractional_positions": [[0.0000, 0.0000, 0.0000], [0.2500, 0.2500, 0.2500], [0.6256, 0.6256, 0.1232], [0.6256, 0.1232, 0.6256], [0.6256, 0.6256, 0.6256], [0.1232, 0.6256, 0.6256]]
}



No. 2
{
  "formula": "Tb3Sm4Tm8",
  "functional": "PBE",
  "state": "optimized geometry",
  "ef_ev_per_atom": 0.38,
  "magnetic_moment_mub_per_cell": 0.0,
  "spacegroup": "C2/m",
  "e_above_lowest_polymorph_ev_per_atom": 0.255,
  "dos_at_fermi_per_ev_atom": 2.008,
  "volume_a3_per_cell": 492,
  "lattice_angstrom": [[6.6836, -0.0917, -0.1318], [-3.2129, 8.5835, 1.1241], [-3.2129, -1.9255, 8.4399]],
  "species": ["Tb", "Tb", "Tb", "Sm", "Sm", "Sm", "Sm", "Tm", "Tm", "Tm", "Tm", "Tm", "Tm", "Tm", "Tm"],
  "fractional_positions": [[0.5000, 0.5000, 0.0000], [0.5000, 0.0000, 0.5000], [0.5000, 0.5000, 0.5000], [0.5000, 0.0000, 0.0000], [0.0000, 0.5000, 0.0000], [0.0000, 0.0000, 0.0000], [0.0000, 0.0000, 0.5000], [0.5258, 0.2671, 0.2671], [0.0000, 0.6372, 0.3628], [0.0059, 0.2680, 0.2680], [0.5000, 0.7458, 0.2542], [0.5000, 0.2542, 0.7458], [0.9941, 0.7320, 0.7320], [0.0000, 0.3628, 0.6372], [0.4742, 0.7329, 0.7329]]
}



No. 3
{
  "formula": "LuMgScAg",
  "functional": "PBE",
  "state": "optimized geometry",
  "ef_ev_per_atom": -0.12,
  "magnetic_moment_mub_per_cell": 0.0,
  "spacegroup": "F-43m",
  "dos_at_fermi_per_ev_atom": 1.101,
  "volume_a3_per_cell": 91,
  "lattice_angstrom": [[-4.5889, 0.8981, -1.9133], [-0.8168, -0.5253, -4.9581], [-2.8204, -3.8299, -1.7037]],
  "species": ["Sc", "Mg", "Lu", "Ag"],
  "fractional_positions": [[0.5000, 0.5000, 0.5000], [0.7500, 0.7500, 0.7500], [0.0000, 0.0000, 0.0000], [0.2500, 0.2500, 0.2500]]
}



No. 4
{
  "formula": "Sm2NiCl",
  "functional": "PBE",
  "state": "optimized geometry",
  "raw_formation_energy_ev_per_fu": -3.57,
  "magnetic_moment_mub_per_cell": 0.0,
  "spacegroup": "R3m",
  "e_above_lowest_polymorph_ev_per_atom": 0.023,
  "dos_at_fermi_per_ev_atom": 0.822,
  "volume_a3_per_cell": 102,
  "lattice_angstrom": [[3.9627, 0.0000, 0.0000], [1.9813, 3.4318, 0.0000], [1.9813, 1.1439, 7.5063]],
  "species": ["Sm", "Sm", "Ni", "Cl"],
  "fractional_positions": [[0.0672, 0.0672, 0.7985], [0.2673, 0.2673, 0.1980], [0.6673, 0.6673, 0.9982], [0.4982, 0.4982, 0.5053]]
}



No. 5
{
  "formula": "IrRuAu2",
  "functional": "PBE",
  "state": "optimized geometry",
  "ef_ev_per_atom": 0.42,
  "magnetic_moment_mub_per_cell": 0.5,
  "spacegroup": "C2/m",
  "e_above_lowest_polymorph_ev_per_atom": 0.253,
  "dos_at_fermi_per_ev_atom": 1.362,
  "volume_a3_per_cell": 64,
  "lattice_angstrom": [[4.8966, 0.0041, 0.0008], [4.0819, 2.7047, 0.0008], [0.8121, 0.2450, 4.8356]],
  "species": ["Au", "Au", "Ir", "Ru"],
  "fractional_positions": [[0.0010, 0.0010, 0.9987], [0.4990, 0.4990, 0.5013], [0.2500, 0.2500, 0.2500], [0.7500, 0.7500, 0.7500]]
}



No. 6
{
  "formula": "AgTe2Br",
  "functional": "PBE",
  "state": "optimized geometry",
  "raw_formation_energy_ev_per_fu": 0.89,
  "magnetic_moment_mub_per_cell": 0.0,
  "spacegroup": "Pmmm",
  "dos_at_fermi_per_ev_atom": 0.628,
  "volume_a3_per_cell": 108,
  "lattice_angstrom": [[3.4015, 0.0000, 0.0000], [0.0000, 6.2910, 0.0291], [0.0000, 6.2674, 5.0589]],
  "species": ["Te", "Te", "Ag", "Br"],
  "fractional_positions": [[0.0000, 0.0000, 0.0000], [0.5000, 0.5000, 0.0000], [0.5000, 0.5000, 0.5000], [0.0000, 0.0000, 0.5000]]
}